! LiSiTe4 | the Alexandria database | PBE | relaxed; values from VASP
&SYSTEM
  ibrav = 0, nat = 12, ntyp = 3
/
ATOMIC_SPECIES
Li 6.94 Li.upf
Si 28.09 Si.upf
Te 127.60 Te.upf
CELL_PARAMETERS angstrom
7.938 -3.542 0.000
7.938 3.542 0.000
-0.620 0.000 6.218
ATOMIC_POSITIONS angstrom
Li 7.473 2.090 4.663
Li 7.783 -2.090 1.554
Si 3.659 1.771 3.109
Si 3.969 -1.771 0.000
Te 2.083 0.047 4.615
Te 2.393 -0.047 1.507
Te 5.813 0.170 3.343
Te 6.123 -0.170 0.235
Te 9.134 0.170 5.983
Te 9.444 -0.170 2.874
Te 12.864 0.047 4.711
Te 13.174 -0.047 1.602
! - N(E_F): 0.220 states/eV per atom
! - Energy above the most stable polymorph in this dataset: 0 meV/atom
! - Energy relative to the elements, uncorrected: -113 meV per atom
! - Crystal system: monoclinic


! FeCo2As | the Alexandria database | PBE | relaxed; values from VASP
&SYSTEM
  ibrav = 0, nat = 8, ntyp = 3
/
ATOMIC_SPECIES
Fe 55.84 Fe.upf
Co 58.93 Co.upf
As 74.92 As.upf
CELL_PARAMETERS angstrom
7.943 0.000 0.000
0.000 2.761 0.000
-0.762 0.000 4.433
ATOMIC_POSITIONS angstrom
Fe 0.000 0.000 0.000
Fe 3.972 1.380 0.000
Co 1.775 1.380 1.097
Co 1.434 0.000 3.336
Co 5.747 0.000 1.097
Co 5.406 1.380 3.336
As -0.381 1.380 2.216
As 3.591 0.000 2.216
! - Formation energy from the elements: 0.059 eV/atom
! - N(E_F): 1.035 states/eV per atom
! - Crystal system: monoclinic


! KMgOs | the Alexandria database | PBE | relaxed; values from VASP
&SYSTEM
  ibrav = 0, nat = 12, ntyp = 3
/
ATOMIC_SPECIES
K 39.10 K.upf
Mg 24.30 Mg.upf
Os 190.23 Os.upf
CELL_PARAMETERS angstrom
6.879 0.000 0.000
0.000 6.879 0.000
0.000 0.000 6.879
ATOMIC_POSITIONS angstrom
K 0.000 0.000 0.000
K 0.000 3.439 3.439
K 3.439 0.000 3.439
K 3.439 3.439 0.000
Mg 0.000 0.000 3.439
Mg 0.000 3.439 0.000
Mg 3.439 0.000 0.000
Mg 3.439 3.439 3.439
Os 1.720 1.720 5.159
Os 1.720 5.159 1.720
Os 5.159 1.720 1.720
Os 5.159 5.159 5.159
! - Formation energy from the elements: 1.578 eV/atom
! - N(E_F): 1.841 states/eV per atom
! - Energy above the most stable polymorph in this dataset: 825 meV/atom
! - Crystal system: cubic


! YFeTcGe3 | the Alexandria database | PBE | relaxed; values from VASP
&SYSTEM
  ibrav = 0, nat = 12, ntyp = 4
/
ATOMIC_SPECIES
Y 88.91 Y.upf
Fe 55.84 Fe.upf
Tc 98.00 Tc.upf
Ge 72.64 Ge.upf
CELL_PARAMETERS angstrom
3.857 -5.401 0.000
3.857 5.401 0.000
0.000 0.000 5.621
ATOMIC_POSITIONS angstrom
Y 3.857 2.765 4.216
Y 3.857 -2.765 1.405
Fe 3.857 5.055 1.405
Fe 3.857 -5.055 4.216
Tc 3.857 0.551 1.405
Tc 3.857 -0.551 4.216
Ge 3.857 2.866 1.405
Ge 1.861 0.000 0.000
Ge 1.861 0.000 2.811
Ge 5.854 0.000 0.000
Ge 5.854 0.000 2.811
Ge 3.857 -2.866 4.216
! - Formation energy from the elements: -0.156 eV/atom
! - N(E_F): 0.568 states/eV per atom
! - Crystal system: orthorhombic


! ZrNb3O | the Alexandria database | PBE | relaxed; values from VASP
&SYSTEM
  ibrav = 0, nat = 5, ntyp = 3
/
ATOMIC_SPECIES
Zr 91.22 Zr.upf
Nb 92.91 Nb.upf
O 16.00 O.upf
CELL_PARAMETERS angstrom
4.374 0.000 0.000
0.000 4.374 0.000
0.000 0.000 4.374
ATOMIC_POSITIONS angstrom
Zr 0.000 0.000 0.000
Nb 0.000 2.187 2.187
Nb 2.187 0.000 2.187
Nb 2.187 2.187 0.000
O 2.187 2.187 2.187
! - N(E_F): 0.877 states/eV per atom
! - Energy above the most stable polymorph in this dataset: 0 meV/atom
! - Energy relative to the elements, uncorrected: -670 meV per atom
! - Crystal system: cubic


! PmHo3Th4S8 | the Alexandria database | PBE | relaxed; values from VASP
&SYSTEM
  ibrav = 0, nat = 16, ntyp = 4
/
ATOMIC_SPECIES
Pm 145.00 Pm.upf
Ho 164.93 Ho.upf
Th 232.04 Th.upf
S 32.06 S.upf
CELL_PARAMETERS angstrom
3.916 2.261 6.721
-3.916 2.261 6.721
0.000 -4.522 6.721
ATOMIC_POSITIONS angstrom
Pm 0.000 0.000 0.000
Ho -1.958 -1.130 6.721
Ho -1.958 1.130 13.442
Ho 0.000 2.261 6.721
Th -3.916 0.000 10.082
Th -1.958 1.130 3.361
Th 1.958 1.130 3.361
Th 0.000 0.000 10.082
S 0.000 -2.220 8.308
S -1.923 1.110 8.308
S 0.000 0.000 5.160
S -1.923 -1.110 11.855
S 1.923 1.110 8.308
S 0.000 0.000 15.003
S 1.923 -1.110 11.855
S 0.000 2.220 11.855
! - N(E_F): 0.318 states/eV per atom
! - Energy relative to the elements, uncorrected: -1910 meV per atom
! - Crystal system: trigonal


! TmIn2Cu9 | the Alexandria database | PBE | relaxed; values from VASP
&SYSTEM
  ibrav = 0, nat = 12, ntyp = 3
/
ATOMIC_SPECIES
Tm 168.93 Tm.upf
In 114.82 In.upf
Cu 63.55 Cu.upf
CELL_PARAMETERS angstrom
2.523 1.457 8.101
-2.523 1.457 8.101
0.000 -2.914 8.101
ATOMIC_POSITIONS angstrom
Tm 0.000 0.000 0.000
In 0.000 0.000 3.405
In 0.000 0.000 20.898
Cu -1.272 -0.734 10.129
Cu 0.000 0.000 8.103
Cu 0.000 -1.469 14.174
Cu -1.272 0.734 14.174
Cu 0.000 0.000 12.151
Cu 1.272 -0.734 10.129
Cu 0.000 1.469 10.129
Cu 0.000 0.000 16.200
Cu 1.272 0.734 14.174
! - Formation energy from the elements: -0.132 eV/atom
! - N(E_F): 0.430 states/eV per atom
! - Crystal system: trigonal


! LiCaCdHg2 | the Alexandria database | PBE | relaxed; values from VASP
&SYSTEM
  ibrav = 0, nat = 5, ntyp = 4
/
ATOMIC_SPECIES
Li 6.94 Li.upf
Ca 40.08 Ca.upf
Cd 112.41 Cd.upf
Hg 200.59 Hg.upf
CELL_PARAMETERS angstrom
4.978 0.000 0.000
0.000 4.978 0.000
0.000 0.000 4.929
ATOMIC_POSITIONS angstrom
Li 0.000 0.000 0.000
Ca 2.489 2.489 2.465
Cd 0.000 0.000 2.465
Hg 0.000 2.489 0.000
Hg 2.489 0.000 0.000
! - Formation energy from the elements: -0.204 eV/atom
! - N(E_F): 0.434 states/eV per atom
! - Crystal system: tetragonal


Looking at magnetic moment for the records above, in order, we have 0.0; 10.2; 4.1; 0.2; 0.0; 0.0; 0.0; 0.0 Bohr magnetons per cell.